(1)
Density functional theory data (PBE-GGA) for Ac3Tl after structural relaxation.

The structure in CIF format:
```
data_Ac3Tl
_symmetry_space_group_name_H-M 'I m m 2'
_symmetry_Int_Tables_number 44
_cell_length_a 4.055
_cell_length_b 12.540
_cell_length_c 6.342
_cell_angle_alpha 90.00
_cell_angle_beta 90.00
_cell_angle_gamma 90.00
loop_
_symmetry_equiv_pos_as_xyz
'x,y,z'
'-x,-y,z'
'-x,y,z'
'x,-y,z'
'x+1/2,y+1/2,z+1/2'
'-x+1/2,-y+1/2,z+1/2'
'-x+1/2,y+1/2,z+1/2'
'x+1/2,-y+1/2,z+1/2'
loop_
_atom_site_label
_atom_site_type_symbol
_atom_site_fract_x
_atom_site_fract_y
_atom_site_fract_z
_atom_site_occupancy
Ac1 Ac 0.000 0.000 0.000 1
Ac2 Ac 0.000 0.217 0.579 1
Tl1 Tl 0.000 0.500 0.959 1
```

Properties
Volume = 322 Å³ per cell
Relative energy among the computed polymorphs = 0.0 meV/atom


(2)
Density functional theory data (PBE-GGA) for Ac5Tl4 after structural relaxation.

The structure in CIF format:
```
data_Ac5Tl4
_symmetry_space_group_name_H-M 'C 1 2/m 1'
_symmetry_Int_Tables_number 12
_cell_length_a 12.492
_cell_length_b 5.121
_cell_length_c 11.532
_cell_angle_alpha 90.00
_cell_angle_beta 112.48
_cell_angle_gamma 90.00
loop_
_symmetry_equiv_pos_as_xyz
'x,y,z'
'-x,-y,-z'
'-x,y,-z'
'x,-y,z'
'x+1/2,y+1/2,z'
'-x+1/2,-y+1/2,-z'
'-x+1/2,y+1/2,-z'
'x+1/2,-y+1/2,z'
loop_
_atom_site_label
_atom_site_type_symbol
_atom_site_fract_x
_atom_site_fract_y
_atom_site_fract_z
_atom_site_occupancy
Ac1 Ac 0.000 0.000 0.000 1
Ac2 Ac 0.092 0.000 0.383 1
Ac3 Ac 0.247 0.000 0.819 1
Tl1 Tl 0.061 0.500 0.844 1
Tl2 Tl 0.125 0.500 0.604 1
```

Properties
Volume = 682 Å³ per cell


(3)
Density functional theory data (PBE-GGA) for AcTl2 after structural relaxation.

The structure in CIF format:
```
data_AcTl2
_symmetry_space_group_name_H-M 'P -3 m 1'
_symmetry_Int_Tables_number 164
_symmetry_space_group_name_Hall '-P 3 2"'
_cell_length_a 5.2073
_cell_length_b 5.2073
_cell_length_c 4.2467
_cell_angle_alpha 90.00
_cell_angle_beta 90.00
_cell_angle_gamma 120.00
loop_
_atom_site_label
_atom_site_type_symbol
_atom_site_fract_x
_atom_site_fract_y
_atom_site_fract_z
_atom_site_occupancy
Ac1 Ac 0.0000 0.0000 0.0000 1
Tl1 Tl 0.3333 0.6667 0.3913 1
```

Properties
Volume = 100 Å³ per cell
Relative energy among the computed polymorphs = 0.0 meV/atom


(4)
Density functional theory data (PBE-GGA) for Ac3Tl after structural relaxation.

The structure in CIF format:
```
data_Ac3Tl
_symmetry_space_group_name_H-M 'P m -3 m'
_symmetry_Int_Tables_number 221
_symmetry_space_group_name_Hall '-P 4 2 3'
_cell_length_a 5.363
_cell_length_b 5.363
_cell_length_c 5.363
_cell_angle_alpha 90.00
_cell_angle_beta 90.00
_cell_angle_gamma 90.00
loop_
_atom_site_label
_atom_site_type_symbol
_atom_site_fract_x
_atom_site_fract_y
_atom_site_fract_z
_atom_site_occupancy
Ac1 Ac 0.000 0.000 0.500 1
Tl1 Tl 0.500 0.500 0.500 1
```

Properties
Volume = 154 Å³ per cell
Relative energy among the computed polymorphs = 29.7 meV/atom


(5)
Density functional theory data (PBE-GGA) for AcTl5 after structural relaxation.

The structure in CIF format:
```
data_AcTl5
_symmetry_space_group_name_H-M 'C m m m'
_symmetry_Int_Tables_number 65
_symmetry_space_group_name_Hall '-C 2 2'
_cell_length_a 5.548
_cell_length_b 16.371
_cell_length_c 4.200
_cell_angle_alpha 90.00
_cell_angle_beta 90.00
_cell_angle_gamma 90.00
loop_
_atom_site_label
_atom_site_type_symbol
_atom_site_fract_x
_atom_site_fract_y
_atom_site_fract_z
_atom_site_occupancy
Ac1 Ac 0.000 0.000 0.000 1
Tl1 Tl 0.000 0.175 0.500 1
Tl2 Tl 0.000 0.332 0.000 1
Tl3 Tl 0.000 0.500 0.500 1
```

Properties
Volume = 381 Å³ per cell
Relative energy among the computed polymorphs = 29.3 meV/atom


(6)
Density functional theory data (PBE-GGA) for Ac3Tl4 after structural relaxation.

The structure in CIF format:
```
data_Ac3Tl4
_symmetry_space_group_name_H-M 'R -3'
_symmetry_Int_Tables_number 148
_symmetry_space_group_name_Hall '-R 3'
_cell_length_a 15.4201
_cell_length_b 15.4201
_cell_length_c 7.0362
_cell_angle_alpha 90.00
_cell_angle_beta 90.00
_cell_angle_gamma 120.00
loop_
_atom_site_label
_atom_site_type_symbol
_atom_site_fract_x
_atom_site_fract_y
_atom_site_fract_z
_atom_site_occupancy
Ac1 Ac 0.0446 0.2148 0.2258 1
Tl1 Tl 0.0000 0.0000 0.0000 1
Tl2 Tl 0.0000 0.0000 0.5000 1
Tl3 Tl 0.0544 0.2618 0.7037 1
```

Properties
Volume = 1449 Å³ per cell


Density: 9118 9513 10586 9530 10873 10304 (kg/m³)
E_form: -0.147 -0.308 -0.314 -0.118 -0.131 -0.359 (eV per atom)
Energy: -3.820 -3.642 -3.261 -3.791 -2.788 -3.472 (eV per atom)